<one>
The following is a PBE calculation of an optimized crystal structure of HoHgO, from Alexandria via LeMat-Bulk.

* magnetization: 0.00 μB per atom

Cell lengths 3.727, 3.727, 5.457 Å; angles 90.00, 90.00, 120.00 degrees
Atoms (fractional coordinates):
Ho: 0.000 0.000 0.000
Hg: 0.333 0.667 0.532
O: 0.667 0.333 0.039

<two>
The following is a PBE calculation of an optimized crystal structure of HoHgO, from Alexandria via LeMat-Bulk.

* magnetization: 0.00 μB per atom

Cell lengths 3.891, 3.891, 7.850 Å; angles 90.00, 90.00, 90.00 degrees
Atoms (fractional coordinates):
Ho: 0.250 0.250 0.138
Ho: 0.750 0.750 0.862
Hg: 0.250 0.250 0.597
Hg: 0.750 0.750 0.403
O: 0.250 0.750 0.000
O: 0.750 0.250 0.000

So which one is most stable? That would be <two>, about 30.9 kJ/mol of atoms below the next structure.

<one>
The following is a PBE calculation of an optimized crystal structure of Ho2HgOs, from Alexandria via LeMat-Bulk.

* magnetization: 0.00 μB per atom

Cell lengths 3.440, 3.440, 7.609 Å; angles 90.00, 90.00, 90.00 degrees
Atoms (fractional coordinates):
Ho: 0.000 0.000 0.217
Ho: 0.000 0.000 0.783
Hg: 0.500 0.500 0.500
Os: 0.500 0.500 0.000

<two>
The following is a PBE calculation of an optimized crystal structure of Ho2HgOs, from Alexandria via LeMat-Bulk.

* magnetization: 0.00 μB per atom

Cell lengths 7.061, 7.061, 7.061 Å; angles 90.00, 90.00, 90.00 degrees
Atoms (fractional coordinates):
Ho: 0.250 0.250 0.250
Ho: 0.250 0.250 0.750
Ho: 0.250 0.750 0.250
Ho: 0.250 0.750 0.750
Ho: 0.750 0.250 0.250
Ho: 0.750 0.250 0.750
Ho: 0.750 0.750 0.250
Ho: 0.750 0.750 0.750
Hg: 0.000 0.000 0.000
Hg: 0.000 0.500 0.500
Hg: 0.500 0.000 0.500
Hg: 0.500 0.500 0.000
Os: 0.000 0.000 0.500
Os: 0.000 0.500 0.000
Os: 0.500 0.000 0.000
Os: 0.500 0.500 0.500

So which one is most stable? That would be <one>, about 11.9 kJ/mol of atoms below the next structure.